(1)
Entry from Alexandria via LeMat-Bulk: a geometry-optimized AlZnCr2 structure (PBE).

extended XYZ file:
```
4
Lattice="-1.313 -1.603 1.451 -1.128 -0.941 -2.060 5.876 -5.466 -0.721" Properties=species:S:1:pos:R:3 pbc="T T T"
Zn 0.248 -2.638 -0.485
Cr 5.855 -5.446 -0.718
Cr 2.959 -2.752 -0.363
Al 3.186 -5.371 -0.845
```

Properties
Density of states at the Fermi level, states/eV/cell: 3.10
Formation energy from the elements, eV per atom: 0.1315
DFT total energy, eV per atom: -5.9344

(2)
Entry from Alexandria via LeMat-Bulk: a geometry-optimized AlZnCr2 structure (PBE).

extended XYZ file:
```
4
Lattice="-2.380 -0.317 1.023 1.352 -2.233 -0.050 3.061 1.681 7.642" Properties=species:S:1:pos:R:3 pbc="T T T"
Cr 0.043 0.024 0.107
Cr 0.191 -0.888 2.248
Zn 1.496 0.822 3.735
Al 1.832 0.014 6.346
```

Properties
Density of states at the Fermi level, states/eV/cell: 2.53
Formation energy from the elements, eV per atom: 0.1107
DFT total energy, eV per atom: -5.9551

(3)
Entry from Alexandria via LeMat-Bulk: a geometry-optimized AlZn2Cr structure (PBE).

extended XYZ file:
```
4
Lattice="5.009 -0.162 -0.263 2.478 4.356 0.263 -3.375 -2.755 2.491" Properties=species:S:1:pos:R:3 pbc="T T T"
Al 2.689 -0.410 1.114
Cr 1.423 1.849 1.377
Zn 0.021 0.012 0.000
Zn 3.722 2.085 0.000
```

Properties
Density of states at the Fermi level, states/eV/cell: 1.98
Formation energy from the elements, eV per atom: 0.0522
DFT total energy, eV per atom: -3.9263

(4)
Entry from Alexandria via LeMat-Bulk: a geometry-optimized AlZnCr2 structure (PBE).

extended XYZ file:
```
4
Lattice="2.532 0.008 0.000 -0.542 2.473 0.000 0.000 0.000 8.196" Properties=species:S:1:pos:R:3 pbc="T T T"
Cr 0.000 0.000 4.129
Cr 0.000 0.000 8.165
Al 0.995 1.241 6.147
Zn 0.995 1.241 2.049
```

Properties
Density of states at the Fermi level, states/eV/cell: 3.09
Formation energy from the elements, eV per atom: 0.1057
DFT total energy, eV per atom: -5.9601

(5)
Entry from Alexandria via LeMat-Bulk: a geometry-optimized AlZn2Cr2 structure (PBE).

extended XYZ file:
```
10
Lattice="-3.147 0.686 5.576 -5.545 -1.402 -2.958 0.486 -3.381 0.691" Properties=species:S:1:pos:R:3 pbc="T T T"
Zn -4.126 -2.523 -0.653
Zn -4.080 -1.574 3.961
Zn -6.435 -2.366 1.743
Zn -1.771 -1.731 1.566
Cr -6.187 -0.247 3.148
Cr -2.540 0.264 3.079
Cr -2.506 -0.469 -0.530
Cr -6.152 -0.979 -0.461
Al -4.346 -0.358 1.309
Al 0.000 0.000 0.000
```

Properties
Density of states at the Fermi level, states/eV/cell: 6.06
Formation energy from the elements, eV per atom: 0.2803
DFT total energy, eV per atom: -4.8271

(6)
Entry from Alexandria via LeMat-Bulk: a geometry-optimized AlZnCr2 structure (PBE).

extended XYZ file:
```
4
Lattice="4.233 -0.040 0.000 0.036 4.233 0.000 -2.135 -2.097 3.000" Properties=species:S:1:pos:R:3 pbc="T T T"
Cr 0.019 2.116 1.500
Cr 4.233 -0.040 0.000
Zn 0.000 0.000 3.000
Al 2.116 -0.020 1.500
```

Properties
Density of states at the Fermi level, states/eV/cell: 3.06
Formation energy from the elements, eV per atom: 0.0619
DFT total energy, eV per atom: -6.0039

(7)
Entry from Alexandria via LeMat-Bulk: a geometry-optimized Al6ZnCr2 structure (PBE).

extended XYZ file:
```
9
Lattice="4.549 0.003 0.014 2.276 4.268 -0.665 2.295 1.050 6.662" Properties=species:S:1:pos:R:3 pbc="T T T"
Al 2.371 0.913 0.986
Al 4.560 1.339 3.214
Al 6.748 1.619 5.464
Al 6.749 4.409 5.025
Al 2.372 3.703 0.547
Al 4.560 3.983 2.797
Zn 2.285 2.659 2.999
Cr 4.487 3.019 5.275
Cr 4.633 2.302 0.735
```

Properties
Density of states at the Fermi level, states/eV/cell: 4.26
Formation energy from the elements, eV per atom: -0.0081
DFT total energy, eV per atom: -4.7833

(8)
Entry from Alexandria via LeMat-Bulk: a geometry-optimized AlZn2Cr structure (PBE).

extended XYZ file:
```
4
Lattice="3.154 0.000 0.000 0.000 3.229 0.301 0.000 2.697 5.954" Properties=species:S:1:pos:R:3 pbc="T T T"
Zn 1.577 1.484 1.521
Zn 0.000 2.699 5.937
Cr 1.577 4.448 4.669
Al 0.000 2.956 3.210
```

Properties
Density of states at the Fermi level, states/eV/cell: 1.80
Formation energy from the elements, eV per atom: 0.0906
DFT total energy, eV per atom: -3.8879

(9)
Entry from Alexandria via LeMat-Bulk: a geometry-optimized ZrAl2Cr structure (PBE).

extended XYZ file:
```
4
Lattice="4.947 0.112 0.000 -1.864 4.584 0.000 0.000 0.000 3.018" Properties=species:S:1:pos:R:3 pbc="T T T"
Cr 2.474 0.056 1.509
Zr -0.932 2.292 1.509
Al 0.000 0.000 0.000
Al 1.542 2.348 0.000
```

Properties
Density of states at the Fermi level, states/eV/cell: 3.54
Formation energy from the elements, eV per atom: -0.0797
DFT total energy, eV per atom: -6.4939

(10)
Entry from Alexandria via LeMat-Bulk: a geometry-optimized Zr2AlCr structure (PBE).

extended XYZ file:
```
4
Lattice="9.605 0.144 0.085 9.065 3.179 0.085 9.065 1.613 2.741" Properties=species:S:1:pos:R:3 pbc="T T T"
Al 13.653 2.430 1.433
Zr 0.232 0.041 0.024
Zr 6.827 1.215 0.716
Cr 20.890 3.718 2.192
```

Properties
Density of states at the Fermi level, states/eV/cell: 4.99
Formation energy from the elements, eV per atom: 0.1909
DFT total energy, eV per atom: -7.4247

(11)
Entry from Alexandria via LeMat-Bulk: a geometry-optimized ZrAl2Cr structure (PBE).

extended XYZ file:
```
4
Lattice="-4.165 0.304 1.202 0.324 -2.498 1.754 1.426 2.326 4.352" Properties=species:S:1:pos:R:3 pbc="T T T"
Al 1.456 1.916 4.560
Al -1.639 0.509 2.047
Cr 0.801 -0.276 2.846
Zr -0.733 0.222 5.259
```

Properties
Density of states at the Fermi level, states/eV/cell: 2.17
Formation energy from the elements, eV per atom: -0.1014
DFT total energy, eV per atom: -6.5156

(12)
Entry from Alexandria via LeMat-Bulk: a geometry-optimized ZrAl2Cr structure (PBE).

extended XYZ file:
```
4
Lattice="-3.033 -0.797 0.109 0.626 -2.605 -1.633 1.100 -3.385 5.822" Properties=species:S:1:pos:R:3 pbc="T T T"
Cr 0.513 -1.578 2.715
Zr -0.398 -4.183 3.506
Al 0.032 -0.099 0.170
Al -0.905 -2.620 0.819
```

Properties
Density of states at the Fermi level, states/eV/cell: 2.13
Formation energy from the elements, eV per atom: -0.0891
DFT total energy, eV per atom: -6.5032